1.
# Cu2Bi2Rh

A geometry-optimized Cu2Bi2Rh structure (GGA-PBE, Alexandria).

## Properties
Distance to the lowest polymorph of the same formula: 0.994 eV/f.u.
DOS(E_F): 0.716 states/eV/atom

Unit cell a=7.497 b=7.497 c=3.628 alpha=90.00 beta=90.00 gamma=90.00
Space group P4/mbm (No. 127)
Inequivalent atoms, fractional coordinates:
1 Cu 0.119 0.381 0.000 [4 per cell]
2 Bi 0.178 0.678 0.500 [4 per cell]
3 Rh 0.000 0.000 0.500 [2 per cell]

***

2.
# Cu2BiRh2

A geometry-optimized Cu2BiRh2 structure (GGA-PBE, Alexandria).

## Properties
Distance to the lowest polymorph of the same formula: 0.632 eV/f.u.
DOS(E_F): 1.034 states/eV/atom

Unit cell a=3.822 b=3.822 c=11.570 alpha=90.00 beta=90.00 gamma=90.00
Space group I4/mmm (No. 139)
Inequivalent atoms, fractional coordinates:
1 Cu 0.000 0.000 0.104 [4 per cell]
2 Bi 0.000 0.000 0.500 [2 per cell]
3 Rh 0.000 0.500 0.250 [4 per cell]

***

3.
# CuBiRh

A geometry-optimized CuBiRh structure (GGA-PBE, Alexandria).

## Properties
Distance to the lowest polymorph of the same formula: 0.044 eV/f.u.
DOS(E_F): 0.851 states/eV/atom

Unit cell a=3.417 b=3.417 c=9.134 alpha=90.00 beta=90.00 gamma=90.00
Space group P4/mmm (No. 123)
Inequivalent atoms, fractional coordinates:
1 Cu 0.000 0.000 0.133 [2 per cell]
2 Bi 0.500 0.500 0.313 [2 per cell]
3 Rh 0.000 0.000 0.500 [1 per cell]
4 Rh 0.500 0.500 0.000 [1 per cell]

***

4.
# CuBi8Rh2

A geometry-optimized CuBi8Rh2 structure (GGA-PBE, Alexandria).

## Properties
DOS(E_F): 0.576 states/eV/atom

Unit cell a=11.473 b=10.690 c=5.437 alpha=90.00 beta=91.58 gamma=90.00
Space group C2/m (No. 12)
Inequivalent atoms, fractional coordinates:
1 Cu 0.000 0.000 0.000 [2 per cell]
2 Bi 0.063 0.500 0.754 [4 per cell]
3 Bi 0.077 0.215 0.263 [8 per cell]
4 Bi 0.203 0.000 0.736 [4 per cell]
5 Rh 0.206 0.000 0.240 [4 per cell]

***

Number 1: final energy -43.106 eV/cell, energy relative to the elements 351 meV/atom. Number 2: final energy -50.493 eV/cell, energy relative to the elements 306 meV/atom. Number 3: final energy -30.107 eV/cell, energy relative to the elements 92 meV/atom. Number 4: final energy -96.877 eV/cell, energy relative to the elements 128 meV/atom.